[1]
# Dy6Pt5 PBE-GGA relaxed
# **Symmetry**: No. 71
# **Total moment**: 0.00 μB/f.u.
# **Density of states at the Fermi level**: 0.66 states/eV/atom
# **Formation energy**: -1.130 eV per atom
# **Raw total energy**: -6.386 eV/atom
data_Dy6Pt5
_chemical_formula_sum 'Dy6 Pt5'
_cell_length_a 8.544
_cell_length_b 8.544
_cell_length_c 8.544
_cell_angle_alpha 146.71
_cell_angle_beta 131.81
_cell_angle_gamma 59.83
_space_group_name_H-M_alt 'P 1'
_space_group_IT_number 1
loop_
_space_group_symop_operation_xyz
'x,y,z'
loop_
_atom_site_label
_atom_site_fract_x
_atom_site_fract_y
_atom_site_fract_z
Dy1 0.083 0.334 0.748
Dy2 0.247 0.000 0.247
Dy3 0.414 0.666 0.748
Dy4 0.586 0.334 0.252
Dy5 0.753 0.000 0.753
Dy6 0.917 0.666 0.252
Pt1 0.000 0.500 0.500
Pt2 0.174 0.174 0.000
Pt3 0.338 0.838 0.500
Pt4 0.662 0.162 0.500
Pt5 0.826 0.826 0.000

[2]
# DyPt12 PBE-GGA relaxed
# **Symmetry**: No. 139
# **Total moment**: 0.00 μB/f.u.
# **Density of states at the Fermi level**: 1.09 states/eV/atom
# **Formation energy**: -0.249 eV per atom
# **Raw total energy**: -6.179 eV/atom
data_DyPt12
_chemical_formula_sum 'Dy1 Pt12'
_cell_length_a 6.957
_cell_length_b 6.957
_cell_length_c 6.957
_cell_angle_alpha 98.71
_cell_angle_beta 98.71
_cell_angle_gamma 134.21
_space_group_name_H-M_alt 'P 1'
_space_group_IT_number 1
loop_
_space_group_symop_operation_xyz
'x,y,z'
loop_
_atom_site_label
_atom_site_fract_x
_atom_site_fract_y
_atom_site_fract_z
Dy1 0.000 0.000 0.000
Pt1 0.000 0.000 0.500
Pt2 0.000 0.343 0.343
Pt3 0.000 0.500 0.000
Pt4 0.000 0.657 0.657
Pt5 0.284 0.500 0.784
Pt6 0.343 0.000 0.343
Pt7 0.500 0.000 0.000
Pt8 0.500 0.284 0.784
Pt9 0.500 0.500 0.500
Pt10 0.500 0.716 0.216
Pt11 0.657 0.000 0.657
Pt12 0.716 0.500 0.216

[3]
# Dy4Pt PBE-GGA relaxed
# **Symmetry**: No. 221
# **Total moment**: 0.00 μB/f.u.
# **Density of states at the Fermi level**: 1.71 states/eV/atom
# **Formation energy**: -0.315 eV per atom
# **Raw total energy**: -5.205 eV/atom
data_Dy4Pt
_chemical_formula_sum 'Dy4 Pt1'
_cell_length_a 5.471
_cell_length_b 5.471
_cell_length_c 5.471
_cell_angle_alpha 90.00
_cell_angle_beta 90.00
_cell_angle_gamma 90.00
_space_group_name_H-M_alt 'P 1'
_space_group_IT_number 1
loop_
_space_group_symop_operation_xyz
'x,y,z'
loop_
_atom_site_label
_atom_site_fract_x
_atom_site_fract_y
_atom_site_fract_z
Dy1 0.000 0.000 0.000
Dy2 0.000 0.500 0.500
Dy3 0.500 0.000 0.500
Dy4 0.500 0.500 0.000
Pt1 0.500 0.500 0.500

[4]
# DyPt3 PBE-GGA relaxed
# **Symmetry**: No. 221
# **Total moment**: 0.00 μB/f.u.
# **Density of states at the Fermi level**: 0.96 states/eV/atom
# **Formation energy**: -1.038 eV per atom
# **Raw total energy**: -6.719 eV/atom
data_DyPt3
_chemical_formula_sum 'Dy1 Pt3'
_cell_length_a 4.119
_cell_length_b 4.119
_cell_length_c 4.119
_cell_angle_alpha 90.00
_cell_angle_beta 90.00
_cell_angle_gamma 90.00
_space_group_name_H-M_alt 'P 1'
_space_group_IT_number 1
loop_
_space_group_symop_operation_xyz
'x,y,z'
loop_
_atom_site_label
_atom_site_fract_x
_atom_site_fract_y
_atom_site_fract_z
Dy1 0.000 0.000 0.000
Pt1 0.000 0.500 0.500
Pt2 0.500 0.000 0.500
Pt3 0.500 0.500 0.000